A crystal of ZnTc2Ag relaxed with PBEsol, computed with meta-GGA SCAN.

Computed properties:
energy of formation = 389 meV per atom
mass density = 10.7 g/cm³
space-group type = P4/mmm (123)

Structure (POSCAR):
```
ZnTc2Ag
1.0
2.5870 0.0000 0.0000
0.0000 2.5870 0.0000
0.0000 0.0000 8.5882
Zn Tc Ag
1 2 1
Direct
0.0000 0.0000 0.0000
0.5000 0.5000 0.2378
0.5000 0.5000 0.7622
0.0000 0.0000 0.5000
```

A crystal of ZrTc2Ag relaxed with PBEsol, computed with meta-GGA SCAN.

Computed properties:
distance to the lowest polymorph of the same formula = 97.6 meV/atom
energy of formation = 193 meV per atom
mass density = 10.1 g/cm³
space-group type = R3m (160)

Structure (POSCAR):
```
ZrTc2Ag
1.0
1.3972 0.8067 9.5788
-1.3972 0.8067 9.5788
0.0000 -1.6133 9.5788
Zr Tc Ag
1 2 1
Direct
0.0000 0.0000 0.0000
0.4921 0.4921 0.4921
0.7560 0.7560 0.7560
0.2431 0.2431 0.2431
```

A crystal of ZrTcAg relaxed with PBEsol, computed with meta-GGA SCAN.

Computed properties:
distance to the lowest polymorph of the same formula = 572.3 meV/atom
energy of formation = 747 meV per atom
mass density = 8.2 g/cm³
space-group type = F-43m (216)

Structure (POSCAR):
```
ZrTcAg
1.0
0.0000 3.1135 3.1135
3.1135 0.0000 3.1135
3.1135 3.1135 0.0000
Zr Tc Ag
1 1 1
Direct
0.0000 0.0000 0.0000
0.2500 0.2500 0.2500
0.5000 0.5000 0.5000
```

A crystal of ZrTc2Ag relaxed with PBEsol, computed with meta-GGA SCAN.

Computed properties:
distance to the lowest polymorph of the same formula = 0.0 meV/atom
energy of formation = 95 meV per atom
mass density = 10.1 g/cm³
space-group type = Imm2 (44)

Structure (POSCAR):
```
ZrTc2Ag
1.0
-1.8705 2.1710 3.9966
1.8705 -2.1710 3.9966
1.8705 2.1710 -3.9966
Zr Tc Ag
1 2 1
Direct
0.0000 0.0000 0.0000
0.5349 0.5349 0.0000
0.7456 0.2456 0.5000
0.2690 0.7690 0.5000
```

A crystal of ZrTcAg relaxed with PBEsol, computed with meta-GGA SCAN.

Computed properties:
distance to the lowest polymorph of the same formula = 0.0 meV/atom
energy of formation = 175 meV per atom
mass density = 9.8 g/cm³
space-group type = P3m1 (156)

Structure (POSCAR):
```
ZrTcAg
1.0
4.6963 0.0000 0.0000
-2.3481 4.0671 0.0000
0.0000 0.0000 2.6475
Zr Tc Ag
1 1 1
Direct
0.0000 0.0000 0.0000
0.3333 0.6667 0.6876
0.6667 0.3333 0.3314
```

A crystal of ZrTcAg2 relaxed with PBEsol, computed with meta-GGA SCAN.

Computed properties:
distance to the lowest polymorph of the same formula = 323.3 meV/atom
energy of formation = 393 meV per atom
mass density = 10.1 g/cm³
space-group type = R-3m (166)

Structure (POSCAR):
```
ZrTcAg2
1.0
1.3973 0.8068 9.8741
-1.3973 0.8068 9.8741
0.0000 -1.6135 9.8741
Zr Tc Ag
1 1 2
Direct
0.0000 0.0000 0.0000
0.5000 0.5000 0.5000
0.2459 0.2459 0.2459
0.7541 0.7541 0.7541
```

A crystal of ZrTcAg2 relaxed with PBEsol, computed with meta-GGA SCAN.

Computed properties:
distance to the lowest polymorph of the same formula = 0.0 meV/atom
energy of formation = 70 meV per atom
mass density = 10.1 g/cm³
space-group type = Pmmm (47)

Structure (POSCAR):
```
ZrTcAg2
1.0
3.5965 0.0000 0.0000
0.0000 4.0727 0.0000
0.0000 0.0000 4.5348
Zr Tc Ag
1 1 2
Direct
0.0000 0.0000 0.0000
0.5000 0.5000 0.0000
0.0000 0.5000 0.5000
0.5000 0.0000 0.5000
```

A crystal of AgTe3 relaxed with PBEsol, computed with meta-GGA SCAN.

Computed properties:
mass density = 8.2 g/cm³
space-group type = P4/mmm (123)

Structure (POSCAR):
```
AgTe3
1.0
5.3371 0.0000 0.0000
0.0000 5.3371 0.0000
0.0000 0.0000 3.5092
Ag Te
1 3
Direct
0.0000 0.0000 0.0000
0.0000 0.5000 0.5000
0.5000 0.0000 0.5000
0.5000 0.5000 0.0000
```

A crystal of Ag2Te relaxed with PBEsol, computed with meta-GGA SCAN.

Computed properties:
mass density = 9.0 g/cm³
space-group type = P4/nmm (129)

Structure (POSCAR):
```
Ag2Te
1.0
4.3367 0.0000 0.0000
0.0000 4.3367 0.0000
0.0000 0.0000 6.7642
Ag Te
4 2
Direct
0.2500 0.2500 0.2161
0.2500 0.7500 0.5000
0.7500 0.2500 0.5000
0.7500 0.7500 0.7839
0.2500 0.2500 0.7941
0.7500 0.7500 0.2059
```

A crystal of AgTe relaxed with PBEsol, computed with meta-GGA SCAN.

Computed properties:
mass density = 8.1 g/cm³
space-group type = Cm (8)

Structure (POSCAR):
```
AgTe
1.0
6.9721 -1.5790 0.0000
6.9721 1.5790 0.0000
-3.5287 0.0000 6.5918
Ag Te
3 3
Direct
0.0000 0.0000 0.0000
0.5312 0.5312 0.7174
0.8657 0.8657 0.3862
0.2112 0.2112 0.0131
0.3155 0.3155 0.6749
0.5414 0.5414 0.3535
```

A crystal of AgTe relaxed with PBEsol, computed with meta-GGA SCAN.

Computed properties:
mass density = 8.0 g/cm³
space-group type = P2_1/m (11)

Structure (POSCAR):
```
AgTe
1.0
3.0825 0.0000 0.0000
0.0000 4.4572 0.0000
-0.0552 0.0000 7.1404
Ag Te
2 2
Direct
0.2488 0.2500 0.4310
0.7512 0.7500 0.5690
0.2446 0.7500 0.1980
0.7554 0.2500 0.8020
```

A crystal of AgTe3 relaxed with PBEsol, computed with meta-GGA SCAN.

Computed properties:
mass density = 7.4 g/cm³
space-group type = P2/m (10)

Structure (POSCAR):
```
AgTe3
1.0
3.0692 0.0000 0.0000
0.0000 4.1784 0.0000
-0.0631 0.0000 8.6233
Ag Te
1 3
Direct
0.0000 0.0000 0.0000
0.0000 0.0000 0.5000
0.0054 0.5000 0.7851
0.9946 0.5000 0.2149
```

A crystal of AgTe3 relaxed with PBEsol, computed with meta-GGA SCAN.

Computed properties:
mass density = 7.0 g/cm³
space-group type = P4/mmm (123)

Structure (POSCAR):
```
AgTe3
1.0
3.0864 0.0000 0.0000
0.0000 3.0864 0.0000
0.0000 0.0000 12.2481
Ag Te
1 3
Direct
0.0000 0.0000 0.0000
0.0000 0.0000 0.2175
0.0000 0.0000 0.5000
0.0000 0.0000 0.7825
```

A crystal of Ag7Te relaxed with PBEsol, computed with meta-GGA SCAN.

Computed properties:
mass density = 10.3 g/cm³
space-group type = Fm-3m (225)

Structure (POSCAR):
```
Ag7Te
1.0
0.0000 4.1424 4.1424
4.1424 0.0000 4.1424
4.1424 4.1424 0.0000
Ag Te
7 1
Direct
0.0000 0.0000 0.0000
0.0000 0.0000 0.5000
0.0000 0.5000 0.0000
0.0000 0.5000 0.5000
0.5000 0.0000 0.0000
0.5000 0.0000 0.5000
0.5000 0.5000 0.0000
0.5000 0.5000 0.5000
```

A crystal of Ag2Te relaxed with PBEsol, computed with meta-GGA SCAN.

Computed properties:
mass density = 8.8 g/cm³
space-group type = C2/m (12)

Structure (POSCAR):
```
Ag2Te
1.0
6.7005 -1.6152 0.0000
6.7005 1.6152 0.0000
-3.5492 0.0000 5.9957
Ag Te
4 2
Direct
0.0842 0.0842 0.3698
0.3942 0.3942 0.2829
0.6058 0.6058 0.7171
0.9158 0.9158 0.6302
0.3170 0.3170 0.8270
0.6830 0.6830 0.1730
```

no.,final energy (eV/atom)
1,-28.36
2,-32.85
3,-31.63
4,-32.95
5,-32.20
6,-31.73
7,-32.05
8,-35.47
9,-33.38
10,-34.27
11,-34.35
12,-35.76
13,-35.73
14,-32.04
15,-33.32